a:
{"formula": "NaNiAsO4", "functional": "PBE+U", "state": "relaxed", "cell": [[2.5113, 1.4499, 8.8984], [-2.5113, 1.4499, 8.8984], [0.0000, -2.8998, 8.8984]], "species": ["Na", "Na", "Ni", "Ni", "As", "As", "O", "O", "O", "O", "O", "O", "O", "O"], "frac_coords": [[0.2128, 0.2128, 0.2128], [0.7872, 0.7872, 0.7872], [0.3359, 0.3359, 0.3359], [0.6641, 0.6641, 0.6641], [0.0662, 0.0662, 0.0662], [0.9338, 0.9338, 0.9338], [0.0354, 0.3807, 0.7208], [0.1292, 0.1292, 0.1292], [0.2792, 0.9646, 0.6193], [0.3807, 0.7208, 0.0354], [0.6193, 0.2792, 0.9646], [0.7208, 0.0354, 0.3807], [0.8708, 0.8708, 0.8708], [0.9646, 0.6193, 0.2792]]}



b:
{"formula": "NaNiAsO4", "functional": "PBE+U", "state": "relaxed", "cell": [[2.7905, -4.3832, 0.0000], [2.7905, 4.3832, 0.0000], [0.0000, 0.0000, 6.8625]], "species": ["Na", "Na", "Ni", "Ni", "As", "As", "O", "O", "O", "O", "O", "O", "O", "O"], "frac_coords": [[0.1822, 0.8178, 0.7500], [0.8178, 0.1822, 0.2500], [0.5000, 0.5000, 0.0000], [0.5000, 0.5000, 0.5000], [0.1624, 0.8376, 0.2500], [0.8376, 0.1624, 0.7500], [0.2086, 0.2910, 0.7500], [0.2750, 0.7250, 0.0486], [0.2750, 0.7250, 0.4514], [0.2910, 0.2086, 0.2500], [0.7090, 0.7914, 0.7500], [0.7250, 0.2750, 0.5486], [0.7250, 0.2750, 0.9514], [0.7914, 0.7090, 0.2500]]}



How far above the most stable structure does each one sit? In meV per atom: a 0; b 42.